! Cs2K12Hg7 (PBE, optimized geometry); values from VASP
! Spin magnetization   0.0 μB per formula unit
! Total energy   -0.973 eV/atom
! Symmetry   P-6 (174)
&SYSTEM
  ibrav = 0, nat = 21, ntyp = 3
/
ATOMIC_SPECIES
Cs 132.91 Cs.upf
K 39.10 K.upf
Hg 200.59 Hg.upf
CELL_PARAMETERS angstrom
14.827 0.000 0.000
-7.414 12.841 0.000
0.000 0.000 5.453
ATOMIC_POSITIONS angstrom
Cs 0.000 0.000 0.000
Cs 0.000 8.561 2.726
K -4.898 9.958 2.726
K -1.469 5.052 0.000
K 1.239 3.620 2.726
K -2.304 11.587 0.000
K 4.168 2.814 0.000
K 7.164 1.454 2.726
K 5.090 5.909 2.726
K 3.773 9.043 0.000
K 3.659 12.103 2.726
K 10.306 2.203 0.000
K 7.767 7.824 0.000
K 9.986 5.478 2.726
Hg -3.388 8.060 0.000
Hg 3.373 0.603 2.726
Hg 2.128 5.877 0.000
Hg 1.260 11.745 0.000
Hg 7.414 4.280 0.000
Hg 6.250 9.619 2.726
Hg 12.619 2.619 2.726